Density functional theory data (PBE-GGA) for Er12Au3O5 after structural relaxation.

The calculation puts the total energy at -982.14 eV per cell.

The space group is Ia-3d (No. 230) and the conventional cell measures 15.183, 15.183 and 15.183 Å, with angles of 90.00, 90.00 and 90.00 degrees. The inequivalent atoms are Er at (0.038, 0.053, 0.650), Au at (0.000, 0.250, 0.125), O at (0.000, 0.000, 0.000) and O at (0.000, 0.250, 0.375).